First-principles (GGA-PBE) data for crystalline Tb2CeBi2N2 at its relaxed geometry, as listed in Alexandria via LeMat-Bulk.

Values from the calculation:
The mass density comes out at 9328 kg/m³. The calculation puts the total energy at -6.5132 eV/atom.

POSCAR file:
```
Tb2CeBi2N2
1.0
-2.2447 2.2447 7.9834
2.2447 -2.2447 7.9834
2.2447 2.2447 -7.9834
Tb Ce Bi N
2 1 2 2
direct
0.0985 0.0985 0.0000
0.9015 0.9015 0.0000
0.5000 0.5000 0.0000
0.2942 0.2942 0.0000
0.7058 0.7058 0.0000
0.0000 0.5000 0.5000
0.5000 0.0000 0.5000
```